A:
Ca2MgZn3 after structural relaxation, computed with PBE.

Computed properties:
- V: 307.4 Å³/cell
- Fermi-level density of states: 2.32 states/eV/f.u.

Cell: 7.001 7.001 6.910 Å, 90.00 90.00 65.17°
Atoms (fractional coordinates):
Mg: 0.641 0.359 0.250
Mg: 0.359 0.641 0.750
Zn: 0.999 0.001 0.250
Zn: 0.001 0.999 0.750
Zn: 0.193 0.593 0.250
Zn: 0.807 0.407 0.750
Zn: 0.407 0.807 0.250
Zn: 0.593 0.193 0.750
Ca: 0.221 0.221 0.000
Ca: 0.779 0.779 0.500
Ca: 0.779 0.779 0.000
Ca: 0.221 0.221 0.500


B:
Ca2MgZn3 after structural relaxation, computed with PBE.

Computed properties:
- V: 132.7 Å³/cell
- Fermi-level density of states: 4.67 states/eV/f.u.

Cell: 5.699 5.699 5.699 Å, 60.62 60.62 60.62°
Atoms (fractional coordinates):
Ca: 0.877 0.877 0.877
Ca: 0.123 0.123 0.123
Mg: 0.500 0.500 0.500
Zn: 0.000 0.500 0.500
Zn: 0.500 0.500 0.000
Zn: 0.500 0.000 0.500


C:
Ca2MgZn3 after structural relaxation, computed with PBE.

Computed properties:
- V: 275.0 Å³/cell
- Fermi-level density of states: 2.11 states/eV/f.u.

Cell: 5.038 5.036 12.517 Å, 90.00 90.00 120.01°
Atoms (fractional coordinates):
Ca: 0.667 0.333 0.595
Ca: 0.333 0.667 0.095
Ca: 0.333 0.667 0.405
Ca: 0.667 0.333 0.905
Mg: 0.000 0.000 0.250
Mg: 0.000 0.000 0.750
Zn: 0.667 0.334 0.153
Zn: 0.333 0.666 0.653
Zn: 0.333 0.666 0.847
Zn: 0.667 0.334 0.347
Zn: 0.000 0.000 0.000
Zn: 0.000 0.000 0.500


Energies relative to the most stable structure, in kJ/mol of atoms: A 15.1; B 0.0; C 2.9.


A:
Ca4MgZn after structural relaxation, computed with PBE.

Computed properties:
- V: 195.1 Å³/cell
- Fermi-level density of states: 5.49 states/eV/f.u.

Cell: 3.759 3.759 13.811 Å, 90.00 90.00 90.00°
Atoms (fractional coordinates):
Ca: 0.500 0.500 0.871
Ca: 0.500 0.500 0.129
Ca: 0.000 0.000 0.657
Ca: 0.000 0.000 0.343
Mg: 0.500 0.500 0.500
Zn: 0.000 0.000 0.000


B:
Ca4MgZn after structural relaxation, computed with PBE.

Computed properties:
- V: 225.2 Å³/cell
- Fermi-level density of states: 6.33 states/eV/f.u.

Cell: 6.829 6.829 6.829 Å, 60.00 60.00 60.00°
Atoms (fractional coordinates):
Ca: 0.875 0.375 0.375
Ca: 0.375 0.375 0.875
Ca: 0.375 0.875 0.375
Ca: 0.375 0.375 0.375
Mg: 0.750 0.750 0.750
Zn: 0.000 0.000 0.000


Energies relative to the most stable structure, in kJ/mol of atoms: A 0.0; B 47.8.


A:
Ca4MgZn after structural relaxation, computed with PBE.

Computed properties:
- V: 222.7 Å³/cell
- Fermi-level density of states: 7.91 states/eV/f.u.

Cell: 5.317 5.318 7.877 Å, 89.94 89.95 89.99°
Atoms (fractional coordinates):
Ca: 0.501 0.997 0.267
Ca: 0.501 0.998 0.730
Ca: 0.002 0.497 0.730
Ca: 0.001 0.497 0.267
Mg: 0.501 0.497 0.998
Zn: 0.001 0.997 0.498


B:
Ca4MgZn after structural relaxation, computed with PBE.

Computed properties:
- V: 399.6 Å³/cell
- Fermi-level density of states: 6.50 states/eV/f.u.

Cell: 3.789 9.774 10.789 Å, 90.00 90.00 90.00°
Atoms (fractional coordinates):
Ca: 0.500 0.329 0.070
Ca: 0.500 0.329 0.430
Ca: 0.500 0.671 0.930
Ca: 0.500 0.671 0.570
Ca: 0.500 0.858 0.250
Ca: 0.500 0.142 0.750
Ca: 0.000 0.000 0.000
Ca: 0.000 0.000 0.500
Mg: 0.000 0.564 0.250
Mg: 0.000 0.436 0.750
Zn: 0.000 0.147 0.250
Zn: 0.000 0.853 0.750


Energies relative to the most stable structure, in kJ/mol of atoms: A 10.7; B 0.0.


A:
CaMg3Zn3 after structural relaxation, computed with PBE.

Computed properties:
- V: 302.0 Å³/cell
- Fermi-level density of states: 2.20 states/eV/f.u.

Cell: 8.999 9.470 4.812 Å, 90.00 90.00 132.56°
Atoms (fractional coordinates):
Mg: 0.496 0.411 0.250
Mg: 0.750 0.131 0.250
Mg: 0.967 0.744 0.250
Mg: 0.504 0.589 0.750
Mg: 0.250 0.869 0.750
Mg: 0.033 0.256 0.750
Zn: 0.401 0.073 0.250
Zn: 0.078 0.117 0.250
Zn: 0.696 0.802 0.250
Zn: 0.599 0.927 0.750
Zn: 0.922 0.883 0.750
Zn: 0.304 0.198 0.750
Ca: 0.256 0.623 0.250
Ca: 0.744 0.377 0.750


B:
CaMg3Zn3 after structural relaxation, computed with PBE.

Computed properties:
- V: 390.0 Å³/cell
- Fermi-level density of states: 4.30 states/eV/f.u.

Cell: 7.306 7.306 7.306 Å, 90.00 90.00 90.00°
Atoms (fractional coordinates):
Mg: 0.000 0.250 0.500
Mg: 0.000 0.750 0.500
Mg: 0.500 0.000 0.750
Mg: 0.750 0.500 0.000
Mg: 0.500 0.000 0.250
Mg: 0.250 0.500 0.000
Zn: 0.250 0.000 0.500
Zn: 0.000 0.500 0.250
Zn: 0.500 0.750 0.000
Zn: 0.750 0.000 0.500
Zn: 0.000 0.500 0.750
Zn: 0.500 0.250 0.000
Ca: 0.500 0.500 0.500
Ca: 0.000 0.000 0.000


C:
CaMg3Zn3 after structural relaxation, computed with PBE.

Computed properties:
- V: 291.4 Å³/cell
- Fermi-level density of states: 3.31 states/eV/f.u.

Cell: 8.409 8.407 4.769 Å, 90.00 90.00 120.21°
Atoms (fractional coordinates):
Ca: 0.666 0.333 0.250
Ca: 0.334 0.667 0.750
Mg: 0.228 0.242 0.250
Mg: 0.757 0.987 0.250
Mg: 0.014 0.771 0.250
Mg: 0.772 0.758 0.750
Mg: 0.243 0.013 0.750
Mg: 0.986 0.229 0.750
Zn: 0.075 0.470 0.250
Zn: 0.530 0.604 0.250
Zn: 0.395 0.925 0.250
Zn: 0.925 0.530 0.750
Zn: 0.470 0.396 0.750
Zn: 0.605 0.075 0.750


Energies relative to the most stable structure, in kJ/mol of atoms: A 2.3; B 40.4; C 0.0.


A:
CaMg5Zn after structural relaxation, computed with PBE.

Computed properties:
- V: 176.8 Å³/cell
- Fermi-level density of states: 4.45 states/eV/f.u.

Cell: 4.705 4.705 7.989 Å, 90.00 90.00 90.00°
Atoms (fractional coordinates):
Ca: 0.000 0.000 0.000
Mg: 0.500 0.500 0.000
Mg: 0.000 0.500 0.305
Mg: 0.500 0.000 0.305
Mg: 0.000 0.500 0.695
Mg: 0.500 0.000 0.695
Zn: 0.500 0.500 0.500


B:
CaMg5Zn after structural relaxation, computed with PBE.

Computed properties:
- V: 182.9 Å³/cell
- Fermi-level density of states: 3.72 states/eV/f.u.

Cell: 4.264 4.264 10.061 Å, 90.00 90.00 90.00°
Atoms (fractional coordinates):
Ca: 0.500 0.500 0.500
Mg: 0.500 0.500 0.000
Mg: 0.000 0.500 0.221
Mg: 0.500 0.000 0.221
Mg: 0.000 0.500 0.779
Mg: 0.500 0.000 0.779
Zn: 0.000 0.000 0.000


Energies relative to the most stable structure, in kJ/mol of atoms: A 0.0; B 3.7.